A relaxed structure of Li4Dy3MnS8, computed with PBE.

Output
V, Å³ per atom: 19.43
Density, g/cm3: 4.415
DFT total energy, eV per atom: -5.541

a b c (Å): 7.6449 7.6449 18.4301
angles (deg): 90.00 90.00 120.00
Space group R-3m (No. 166, hexagonal axes)
Unique sites:
Li 0.0000 0.0000 0.0000
Li 0.0000 0.5000 0.0000
Dy 0.0000 0.5000 0.5000
Mn 0.0000 0.0000 0.5000
S 0.0000 0.0000 0.2513
S 0.0206 0.5103 0.2480

---

A relaxed structure of Nd3Er2NpN6, computed with PBE.

Output
V, Å³ per atom: 15.45
Density, g/cm3: 9.746
DFT total energy, eV per atom: -8.670

a b c (Å): 6.0708 10.5150 6.1519
angles (deg): 90.00 109.20 90.00
Space group C2/m (No. 12)
Unique sites:
Nd 0.0000 0.0000 0.0000
Nd 0.0000 0.3314 0.0000
Er 0.0000 0.1664 0.5000
Np 0.0000 0.5000 0.5000
N 0.2314 0.3422 0.7208
N 0.2415 0.5000 0.2772

---

A relaxed structure of Y4Fe28BC, computed with PBE.

Output
Energy relative to the elements, eV per atom: -0.091
V, Å³ per atom: 13.29
Density, g/cm3: 7.135

a b c (Å): 12.3391 12.3587 11.8561
angles (deg): 90.00 90.00 90.00
Space group Cmmm (No. 65)
Unique sites:
Y 0.0000 0.1436 0.0000
Y 0.0000 0.2403 0.5000
Y 0.1434 0.5000 0.5000
Y 0.2334 0.5000 0.0000
Fe 0.0000 0.0000 0.3927
Fe 0.0000 0.1827 0.2560
Fe 0.0000 0.4030 0.2999
Fe 0.0000 0.5000 0.1158
Fe 0.0973 0.0000 0.2053
Fe 0.1048 0.3294 0.1272
Fe 0.1618 0.3024 0.3257
Fe 0.1694 0.1044 0.3796
Fe 0.1841 0.5000 0.2473
Fe 0.1974 0.1607 0.1762
Fe 0.2500 0.2500 0.0000
Fe 0.2500 0.2500 0.5000
B 0.0000 0.3749 0.0000
C 0.1270 0.0000 0.5000

---

A relaxed structure of Tl2TcMo, computed with PBE.

Output
Energy relative to the elements, eV per atom: 0.853
V, Å³ per atom: 19.05
ΔE to the lowest computed polymorph, kJ/mol of formula units: 189
Density, g/cm3: 13.137

a b c (Å): 3.0878 3.0878 27.6784
angles (deg): 90.00 90.00 120.00
Space group R-3m (No. 166, hexagonal axes)
Unique sites:
Tl 0.0000 0.0000 0.2482
Tc 0.0000 0.0000 0.5000
Mo 0.0000 0.0000 0.0000